w:
# LiFeSn2 PBE optimized geometry
data_LiFeSn2
_symmetry_space_group_name_H-M 'P 1'
_symmetry_Int_Tables_number 1
_cell_length_a 3.0736
_cell_length_b 3.0736
_cell_length_c 8.1101
_cell_angle_alpha 90.00
_cell_angle_beta 90.00
_cell_angle_gamma 90.00
loop_
_symmetry_equiv_pos_as_xyz
'x,y,z'
loop_
_atom_site_label
_atom_site_fract_x
_atom_site_fract_y
_atom_site_fract_z
Li1 0.5000 0.5000 0.5000
Sn1 0.0000 0.0000 0.7794
Sn2 0.0000 0.0000 0.2206
Fe1 0.5000 0.5000 0.0000
# density of states at the Fermi level: 3.1 states/eV per cell
# symmetry: P4/mmm (123)


x:
# LiFeSn2 PBE optimized geometry
data_LiFeSn2
_symmetry_space_group_name_H-M 'P 1'
_symmetry_Int_Tables_number 1
_cell_length_a 3.2311
_cell_length_b 3.2311
_cell_length_c 8.8464
_cell_angle_alpha 79.48
_cell_angle_beta 79.48
_cell_angle_gamma 60.00
loop_
_symmetry_equiv_pos_as_xyz
'x,y,z'
loop_
_atom_site_label
_atom_site_fract_x
_atom_site_fract_y
_atom_site_fract_z
Li1 0.5000 0.5000 0.5000
Sn1 0.2573 0.2573 0.2281
Sn2 0.7427 0.7427 0.7719
Fe1 0.0000 0.0000 0.0000
# density of states at the Fermi level: 2.6 states/eV per cell
# symmetry: R-3m (166)


y:
# LiFeSn2 PBE optimized geometry
data_LiFeSn2
_symmetry_space_group_name_H-M 'P 1'
_symmetry_Int_Tables_number 1
_cell_length_a 4.5571
_cell_length_b 4.5571
_cell_length_c 4.5571
_cell_angle_alpha 60.00
_cell_angle_beta 60.00
_cell_angle_gamma 60.00
loop_
_symmetry_equiv_pos_as_xyz
'x,y,z'
loop_
_atom_site_label
_atom_site_fract_x
_atom_site_fract_y
_atom_site_fract_z
Li1 0.0000 0.0000 0.0000
Sn1 0.2500 0.2500 0.2500
Sn2 0.7500 0.7500 0.7500
Fe1 0.5000 0.5000 0.5000
# density of states at the Fermi level: 4.0 states/eV per cell
# symmetry: Fm-3m (225)


z:
# LiFeSn2 PBE optimized geometry
data_LiFeSn2
_symmetry_space_group_name_H-M 'P 1'
_symmetry_Int_Tables_number 1
_cell_length_a 4.3571
_cell_length_b 4.3571
_cell_length_c 9.5255
_cell_angle_alpha 76.78
_cell_angle_beta 76.78
_cell_angle_gamma 90.00
loop_
_symmetry_equiv_pos_as_xyz
'x,y,z'
loop_
_atom_site_label
_atom_site_fract_x
_atom_site_fract_y
_atom_site_fract_z
Li1 0.5000 0.5000 0.0000
Li2 0.2500 0.7500 0.5000
Sn1 0.6331 0.1250 0.2500
Sn2 0.1169 0.6250 0.2500
Sn3 0.3750 0.3669 0.7500
Sn4 0.8750 0.8831 0.7500
Fe1 0.0000 0.0000 0.0000
Fe2 0.7500 0.2500 0.5000
# density of states at the Fermi level: 9.0 states/eV per cell
# symmetry: I-42d (122)


How far above the most stable structure does each one sit? In eV/atom: w 0.000; x 0.026; y 0.048; z 0.291.


w:
# Sr2LiFe PBE optimized geometry
data_Sr2LiFe
_symmetry_space_group_name_H-M 'P 1'
_symmetry_Int_Tables_number 1
_cell_length_a 4.2399
_cell_length_b 4.2399
_cell_length_c 9.8658
_cell_angle_alpha 83.19
_cell_angle_beta 83.19
_cell_angle_gamma 52.09
loop_
_symmetry_equiv_pos_as_xyz
'x,y,z'
loop_
_atom_site_label
_atom_site_fract_x
_atom_site_fract_y
_atom_site_fract_z
Fe1 0.7500 0.7500 0.7500
Li1 0.2500 0.2500 0.2500
Sr1 0.0159 0.0159 0.9549
Sr2 0.4841 0.4841 0.5451
# density of states at the Fermi level: 5.4 states/eV per cell
# symmetry: C2/m (12)


x:
# Sr2LiFe PBE optimized geometry
data_Sr2LiFe
_symmetry_space_group_name_H-M 'P 1'
_symmetry_Int_Tables_number 1
_cell_length_a 4.7231
_cell_length_b 4.4837
_cell_length_c 6.4453
_cell_angle_alpha 69.71
_cell_angle_beta 90.00
_cell_angle_gamma 90.00
loop_
_symmetry_equiv_pos_as_xyz
'x,y,z'
loop_
_atom_site_label
_atom_site_fract_x
_atom_site_fract_y
_atom_site_fract_z
Fe1 0.0000 0.6815 0.5113
Li1 0.5000 0.5698 0.7367
Sr1 0.0000 0.9823 0.9105
Sr2 0.5000 0.2665 0.3415
# density of states at the Fermi level: 8.0 states/eV per cell
# symmetry: Pm (6)


y:
# Sr2LiFe PBE optimized geometry
data_Sr2LiFe
_symmetry_space_group_name_H-M 'P 1'
_symmetry_Int_Tables_number 1
_cell_length_a 3.7303
_cell_length_b 3.7310
_cell_length_c 8.8694
_cell_angle_alpha 90.00
_cell_angle_beta 90.00
_cell_angle_gamma 90.00
loop_
_symmetry_equiv_pos_as_xyz
'x,y,z'
loop_
_atom_site_label
_atom_site_fract_x
_atom_site_fract_y
_atom_site_fract_z
Fe1 0.0000 0.0000 0.5623
Li1 0.5000 0.5000 0.6753
Sr1 0.0000 0.0000 0.9366
Sr2 0.5000 0.5000 0.3258
# density of states at the Fermi level: 6.4 states/eV per cell
# symmetry: P4mm (99)


z:
# Sr2LiFe PBE optimized geometry
data_Sr2LiFe
_symmetry_space_group_name_H-M 'P 1'
_symmetry_Int_Tables_number 1
_cell_length_a 5.5384
_cell_length_b 5.5384
_cell_length_c 5.5384
_cell_angle_alpha 60.00
_cell_angle_beta 60.00
_cell_angle_gamma 60.00
loop_
_symmetry_equiv_pos_as_xyz
'x,y,z'
loop_
_atom_site_label
_atom_site_fract_x
_atom_site_fract_y
_atom_site_fract_z
Fe1 0.5000 0.5000 0.5000
Li1 0.7500 0.7500 0.7500
Sr1 0.0000 0.0000 0.0000
Sr2 0.2500 0.2500 0.2500
# density of states at the Fermi level: 4.5 states/eV per cell
# symmetry: F-43m (216)


How far above the most stable structure does each one sit? In eV/atom: w 0.135; x 0.000; y 0.038; z 0.210.


w:
# Sr2LiFe PBE optimized geometry
data_Sr2LiFe
_symmetry_space_group_name_H-M 'P 1'
_symmetry_Int_Tables_number 1
_cell_length_a 8.3824
_cell_length_b 8.3824
_cell_length_c 6.8741
_cell_angle_alpha 52.43
_cell_angle_beta 52.43
_cell_angle_gamma 90.00
loop_
_symmetry_equiv_pos_as_xyz
'x,y,z'
loop_
_atom_site_label
_atom_site_fract_x
_atom_site_fract_y
_atom_site_fract_z
Sr1 0.6645 0.1250 0.2500
Sr2 0.0855 0.6250 0.2500
Sr3 0.3750 0.3355 0.7500
Sr4 0.8750 0.9145 0.7500
Fe1 0.0000 0.0000 0.0000
Fe2 0.7500 0.2500 0.5000
Li1 0.5000 0.5000 0.0000
Li2 0.2500 0.7500 0.5000
# density of states at the Fermi level: 18.2 states/eV per cell
# symmetry: I-42d (122)


x:
# Sr2LiFe PBE optimized geometry
data_Sr2LiFe
_symmetry_space_group_name_H-M 'P 1'
_symmetry_Int_Tables_number 1
_cell_length_a 6.8524
_cell_length_b 6.8524
_cell_length_c 5.4986
_cell_angle_alpha 65.49
_cell_angle_beta 65.49
_cell_angle_gamma 32.24
loop_
_symmetry_equiv_pos_as_xyz
'x,y,z'
loop_
_atom_site_label
_atom_site_fract_x
_atom_site_fract_y
_atom_site_fract_z
Fe1 0.5277 0.5277 0.4669
Li1 0.1929 0.1929 0.3106
Sr1 0.9932 0.9932 0.0044
Sr2 0.7862 0.7862 0.7181
# density of states at the Fermi level: 5.7 states/eV per cell
# symmetry: Cm (8)


y:
# Sr2LiFe PBE optimized geometry
data_Sr2LiFe
_symmetry_space_group_name_H-M 'P 1'
_symmetry_Int_Tables_number 1
_cell_length_a 10.3942
_cell_length_b 10.3942
_cell_length_c 10.3942
_cell_angle_alpha 22.17
_cell_angle_beta 22.17
_cell_angle_gamma 22.17
loop_
_symmetry_equiv_pos_as_xyz
'x,y,z'
loop_
_atom_site_label
_atom_site_fract_x
_atom_site_fract_y
_atom_site_fract_z
Fe1 0.2500 0.2500 0.2500
Li1 0.7500 0.7500 0.7500
Sr1 0.9844 0.9844 0.9844
Sr2 0.5156 0.5156 0.5156
# density of states at the Fermi level: 7.5 states/eV per cell
# symmetry: R-3m (166)


z:
# Sr2LiFe PBE optimized geometry
data_Sr2LiFe
_symmetry_space_group_name_H-M 'P 1'
_symmetry_Int_Tables_number 1
_cell_length_a 3.8090
_cell_length_b 3.8084
_cell_length_c 8.6861
_cell_angle_alpha 90.00
_cell_angle_beta 90.00
_cell_angle_gamma 90.00
loop_
_symmetry_equiv_pos_as_xyz
'x,y,z'
loop_
_atom_site_label
_atom_site_fract_x
_atom_site_fract_y
_atom_site_fract_z
Fe1 0.5000 0.5000 0.2500
Li1 0.5000 0.5000 0.7500
Sr1 0.0000 0.0000 0.0339
Sr2 0.0000 0.0000 0.4661
# density of states at the Fermi level: 6.4 states/eV per cell
# symmetry: P4/mmm (123)


How far above the most stable structure does each one sit? In eV/atom: w 0.438; x 0.044; y 0.144; z 0.000.


w:
# Sr2LiFe PBE optimized geometry
data_Sr2LiFe
_symmetry_space_group_name_H-M 'P 1'
_symmetry_Int_Tables_number 1
_cell_length_a 6.5277
_cell_length_b 6.5277
_cell_length_c 6.5277
_cell_angle_alpha 137.58
_cell_angle_beta 137.58
_cell_angle_gamma 61.55
loop_
_symmetry_equiv_pos_as_xyz
'x,y,z'
loop_
_atom_site_label
_atom_site_fract_x
_atom_site_fract_y
_atom_site_fract_z
Fe1 0.5000 0.5000 0.0000
Li1 0.7500 0.2500 0.5000
Sr1 0.0000 0.0000 0.0000
Sr2 0.2500 0.7500 0.5000
# density of states at the Fermi level: 6.3 states/eV per cell
# symmetry: I-4m2 (119)


x:
# Sr2LiFe PBE optimized geometry
data_Sr2LiFe
_symmetry_space_group_name_H-M 'P 1'
_symmetry_Int_Tables_number 1
_cell_length_a 5.5846
_cell_length_b 5.5846
_cell_length_c 5.5846
_cell_angle_alpha 60.00
_cell_angle_beta 60.00
_cell_angle_gamma 60.00
loop_
_symmetry_equiv_pos_as_xyz
'x,y,z'
loop_
_atom_site_label
_atom_site_fract_x
_atom_site_fract_y
_atom_site_fract_z
Sr1 0.2500 0.2500 0.2500
Sr2 0.7500 0.7500 0.7500
Fe1 0.5000 0.5000 0.5000
Li1 0.0000 0.0000 0.0000
# density of states at the Fermi level: 5.4 states/eV per cell
# symmetry: Fm-3m (225)


How far above the most stable structure does each one sit? In eV/atom: w 0.118; x 0.000.


w:
# SrLiFe3 PBE optimized geometry
data_SrLiFe3
_symmetry_space_group_name_H-M 'P 1'
_symmetry_Int_Tables_number 1
_cell_length_a 4.5111
_cell_length_b 4.5111
_cell_length_c 4.5111
_cell_angle_alpha 90.00
_cell_angle_beta 90.00
_cell_angle_gamma 90.00
loop_
_symmetry_equiv_pos_as_xyz
'x,y,z'
loop_
_atom_site_label
_atom_site_fract_x
_atom_site_fract_y
_atom_site_fract_z
Sr1 0.5000 0.5000 0.5000
Fe1 0.0000 0.5000 0.0000
Fe2 0.0000 0.0000 0.5000
Fe3 0.5000 0.0000 0.0000
Li1 0.0000 0.0000 0.0000
# density of states at the Fermi level: 14.0 states/eV per cell
# symmetry: Pm-3m (221)


x:
# SrLiFe3 PBE optimized geometry
data_SrLiFe3
_symmetry_space_group_name_H-M 'P 1'
_symmetry_Int_Tables_number 1
_cell_length_a 5.0169
_cell_length_b 5.0169
_cell_length_c 5.0169
_cell_angle_alpha 90.00
_cell_angle_beta 90.00
_cell_angle_gamma 90.00
loop_
_symmetry_equiv_pos_as_xyz
'x,y,z'
loop_
_atom_site_label
_atom_site_fract_x
_atom_site_fract_y
_atom_site_fract_z
Sr1 0.0000 0.0000 0.0000
Fe1 0.0000 0.5000 0.0000
Fe2 0.0000 0.0000 0.5000
Fe3 0.5000 0.0000 0.0000
Li1 0.5000 0.5000 0.5000
# density of states at the Fermi level: 8.6 states/eV per cell
# symmetry: Pm-3m (221)


How far above the most stable structure does each one sit? In eV/atom: w 0.000; x 1.073.


w:
# LiTaFe PBE optimized geometry
data_LiTaFe
_symmetry_space_group_name_H-M 'P 1'
_symmetry_Int_Tables_number 1
_cell_length_a 4.1954
_cell_length_b 4.1954
_cell_length_c 2.6791
_cell_angle_alpha 90.00
_cell_angle_beta 90.00
_cell_angle_gamma 120.00
loop_
_symmetry_equiv_pos_as_xyz
'x,y,z'
loop_
_atom_site_label
_atom_site_fract_x
_atom_site_fract_y
_atom_site_fract_z
Fe1 0.0000 0.0000 0.0172
Li1 0.6667 0.3333 0.2914
Ta1 0.3333 0.6667 0.6914
# density of states at the Fermi level: 2.3 states/eV per cell
# symmetry: P3m1 (156)


x:
# LiTaFe PBE optimized geometry
data_LiTaFe
_symmetry_space_group_name_H-M 'P 1'
_symmetry_Int_Tables_number 1
_cell_length_a 4.0893
_cell_length_b 4.0893
_cell_length_c 4.0893
_cell_angle_alpha 60.00
_cell_angle_beta 60.00
_cell_angle_gamma 60.00
loop_
_symmetry_equiv_pos_as_xyz
'x,y,z'
loop_
_atom_site_label
_atom_site_fract_x
_atom_site_fract_y
_atom_site_fract_z
Fe1 0.0000 0.0000 0.0000
Li1 0.5000 0.5000 0.5000
Ta1 0.2500 0.2500 0.2500
# density of states at the Fermi level: 1.2 states/eV per cell
# symmetry: F-43m (216)


How far above the most stable structure does each one sit? In eV/atom: w 0.000; x 0.697.


w:
# LiTaFe PBE optimized geometry
data_LiTaFe
_symmetry_space_group_name_H-M 'P 1'
_symmetry_Int_Tables_number 1
_cell_length_a 7.0903
_cell_length_b 6.9330
_cell_length_c 2.6907
_cell_angle_alpha 82.25
_cell_angle_beta 75.67
_cell_angle_gamma 22.09
loop_
_symmetry_equiv_pos_as_xyz
'x,y,z'
loop_
_atom_site_label
_atom_site_fract_x
_atom_site_fract_y
_atom_site_fract_z
Fe1 0.0021 0.0021 0.9979
Li1 0.3443 0.3443 0.6557
Ta1 0.6536 0.6536 0.3464
# density of states at the Fermi level: 2.3 states/eV per cell
# symmetry: Fmm2 (42)


x:
# LiTaFe PBE optimized geometry
data_LiTaFe
_symmetry_space_group_name_H-M 'P 1'
_symmetry_Int_Tables_number 1
_cell_length_a 4.0493
_cell_length_b 4.0493
_cell_length_c 4.0493
_cell_angle_alpha 60.00
_cell_angle_beta 60.00
_cell_angle_gamma 60.00
loop_
_symmetry_equiv_pos_as_xyz
'x,y,z'
loop_
_atom_site_label
_atom_site_fract_x
_atom_site_fract_y
_atom_site_fract_z
Fe1 0.2500 0.2500 0.2500
Li1 0.0000 0.0000 0.0000
Ta1 0.5000 0.5000 0.5000
# density of states at the Fermi level: 1.5 states/eV per cell
# symmetry: F-43m (216)


How far above the most stable structure does each one sit? In eV/atom: w 0.000; x 0.372.


w:
# LiTa2Fe PBE optimized geometry
data_LiTa2Fe
_symmetry_space_group_name_H-M 'P 1'
_symmetry_Int_Tables_number 1
_cell_length_a 2.7461
_cell_length_b 2.7461
_cell_length_c 9.1904
_cell_angle_alpha 90.00
_cell_angle_beta 90.00
_cell_angle_gamma 109.00
loop_
_symmetry_equiv_pos_as_xyz
'x,y,z'
loop_
_atom_site_label
_atom_site_fract_x
_atom_site_fract_y
_atom_site_fract_z
Fe1 0.0000 0.0000 0.4939
Li1 0.5000 0.5000 0.7256
Ta1 0.0000 0.0000 0.0064
Ta2 0.5000 0.5000 0.2741
# density of states at the Fermi level: 4.3 states/eV per cell
# symmetry: Cmm2 (35)


x:
# LiTa2Fe PBE optimized geometry
data_LiTa2Fe
_symmetry_space_group_name_H-M 'P 1'
_symmetry_Int_Tables_number 1
_cell_length_a 9.3869
_cell_length_b 9.3869
_cell_length_c 9.3869
_cell_angle_alpha 17.64
_cell_angle_beta 17.64
_cell_angle_gamma 17.64
loop_
_symmetry_equiv_pos_as_xyz
'x,y,z'
loop_
_atom_site_label
_atom_site_fract_x
_atom_site_fract_y
_atom_site_fract_z
Fe1 0.2500 0.2500 0.2500
Li1 0.7500 0.7500 0.7500
Ta1 0.9901 0.9901 0.9901
Ta2 0.5099 0.5099 0.5099
# density of states at the Fermi level: 4.1 states/eV per cell
# symmetry: R-3m (166)


y:
# LiTa2Fe PBE optimized geometry
data_LiTa2Fe
_symmetry_space_group_name_H-M 'P 1'
_symmetry_Int_Tables_number 1
_cell_length_a 5.2422
_cell_length_b 5.2422
_cell_length_c 4.3738
_cell_angle_alpha 65.32
_cell_angle_beta 65.32
_cell_angle_gamma 33.77
loop_
_symmetry_equiv_pos_as_xyz
'x,y,z'
loop_
_atom_site_label
_atom_site_fract_x
_atom_site_fract_y
_atom_site_fract_z
Fe1 0.4947 0.4947 0.5054
Li1 0.2232 0.2232 0.2768
Ta1 0.0034 0.0034 0.9965
Ta2 0.7788 0.7788 0.7212
# density of states at the Fermi level: 2.9 states/eV per cell
# symmetry: Imm2 (44)


How far above the most stable structure does each one sit? In eV/atom: w 0.016; x 0.128; y 0.000.